# RbFeP2H2O8 | the Alexandria database | PBE+U | relaxed
data_RbFeP2H2O8
_chemical_formula_sum 'Rb18 Fe18 P36 H36 O144'
_symmetry_space_group_name_H-M 'R -3 c'
_symmetry_Int_Tables_number 167
_symmetry_space_group_name_Hall '-R 3 2"c'
_cell_length_a 8.3262
_cell_length_b 8.3262
_cell_length_c 53.4451
_cell_angle_alpha 90.00
_cell_angle_beta 90.00
_cell_angle_gamma 120.00
loop_
_atom_site_label
_atom_site_type_symbol
_atom_site_fract_x
_atom_site_fract_y
_atom_site_fract_z
_atom_site_occupancy
Rb1 Rb 0.0000 0.0000 0.1683 1
Rb2 Rb 0.0000 0.0000 0.2500 1
Fe1 Fe 0.0000 0.0000 0.0000 1
Fe2 Fe 0.0000 0.0000 0.0858 1
P1 P 0.0270 0.4172 0.2125 1
H1 H 0.0376 0.4781 0.0461 1
O1 O 0.0443 0.4693 0.9597 1
O2 O 0.0662 0.2249 0.9349 1
O3 O 0.0771 0.2304 0.5209 1
O4 O 0.0812 0.2195 0.1104 1
# Volume   12.7 A^3/atom
# E   -6.470 eV per atom
# Magnetization   4.93 μB per formula unit